[1]
VASP calculation (PBE) on a geometry-optimized SrBiPb structure.

a b c (Å): 4.7710 4.6750 10.0518
angles (deg): 103.45 90.00 90.00
With the nearest neighbours (Å) after each atom.
Sites, in units of the cell vectors:
Sr1 0.2500 0.9022 0.8044  4 Bi 3.39, 1 Pb 3.47
Sr2 0.7500 0.0978 0.1956  4 Bi 3.39, 1 Pb 3.47
Bi1 0.2500 0.5668 0.1335  1 Pb 3.09, 4 Sr 3.39
Bi2 0.7500 0.4332 0.8665  1 Pb 3.09, 4 Sr 3.39
Pb1 0.7500 0.2753 0.5507  1 Bi 3.09
Pb2 0.2500 0.7247 0.4493  1 Bi 3.09

Output
ΔE_f in meV/atom: -490
Offset from the most stable computed form in eV/atom: 0.000
Magnetic moment in μB per atom: 0.00

---

[2]
VASP calculation (PBE) on a geometry-optimized Sr3Bi3Pb2 structure.

a b c (Å): 6.9407 10.0572 10.0572
angles (deg): 120.00 90.00 90.00
With the nearest neighbours (Å) after each atom.
Sites, in units of the cell vectors:
Sr1 0.7500 0.3005 0.0000  5 Bi 3.38-3.53
Sr2 0.7500 0.6995 0.6995  5 Bi 3.38-3.53
Sr3 0.7500 0.0000 0.3005  5 Bi 3.38-3.53
Sr4 0.2500 0.6995 0.0000  5 Bi 3.38-3.53
Sr5 0.2500 0.3005 0.3005  5 Bi 3.38-3.53
Sr6 0.2500 0.0000 0.6995  5 Bi 3.38-3.53
Bi1 0.7500 0.6362 0.0000  5 Sr 3.38-3.53, 4 Pb 3.65
Bi2 0.7500 0.3638 0.3638  5 Sr 3.38-3.53, 4 Pb 3.65
Bi3 0.7500 0.0000 0.6362  5 Sr 3.38-3.53, 4 Pb 3.65
Bi4 0.2500 0.3638 0.0000  5 Sr 3.38-3.53, 4 Pb 3.65
Bi5 0.2500 0.6362 0.6362  5 Sr 3.38-3.53, 4 Pb 3.65
Bi6 0.2500 0.0000 0.3638  5 Sr 3.38-3.53, 4 Pb 3.65
Pb1 0.0000 0.3333 0.6667  2 Pb 3.47, 6 Bi 3.65
Pb2 0.5000 0.6667 0.3333  2 Pb 3.47, 6 Bi 3.65
Pb3 0.0000 0.6667 0.3333  2 Pb 3.47, 6 Bi 3.65
Pb4 0.5000 0.3333 0.6667  2 Pb 3.47, 6 Bi 3.65

Output
ΔE_f in meV/atom: -542
Magnetic moment in μB per atom: 0.00